CaPaN2F: optimized geometry, PBE-GGA.

Properties
As for the electronic total energy: -7.912 eV/atom. As for the total magnetization: 0.00 Bohr magnetons per cell. The uncorrected formation energy comes out at -1908 meV/atom.

Cell and atoms, written as CIF:
```
data_CaPaN2F
_chemical_formula_sum 'Ca2 Pa2 N4 F2'
_cell_length_a 6.1469
_cell_length_b 6.1469
_cell_length_c 7.3237
_cell_angle_alpha 90.00
_cell_angle_beta 90.00
_cell_angle_gamma 148.69
_space_group_name_H-M_alt 'P 1'
_space_group_IT_number 1
loop_
_space_group_symop_operation_xyz
'x,y,z'
loop_
_atom_site_label
_atom_site_type_symbol
_atom_site_fract_x
_atom_site_fract_y
_atom_site_fract_z
Ca1 Ca 0.0000 0.0000 0.0000
Ca2 Ca 0.0000 0.0000 0.5000
Pa1 Pa 0.2351 0.7649 0.7500
Pa2 Pa 0.7649 0.2351 0.2500
N1 N 0.3435 0.6565 0.0682
N2 N 0.3435 0.6565 0.4318
N3 N 0.6565 0.3435 0.5682
N4 N 0.6565 0.3435 0.9318
F1 F 0.1033 0.8967 0.2500
F2 F 0.8967 0.1033 0.7500
```